KLaMoO4 | PBE+U | relaxed

Properties
SG: Imma (74)
Total DFT energy (no corrections) (Ry/atom): -0.5138

Structure (POSCAR):
```
KLaMoO4
1.0
-3.334 3.769 4.855
3.334 -3.769 4.855
3.334 3.769 -4.855
K La Mo O
2 2 2 8
Direct
0.383 0.133 0.250
0.617 0.867 0.750
0.000 0.500 0.500
0.500 0.500 0.000
0.000 0.000 0.500
0.000 0.500 0.000
0.175 0.745 0.429
0.184 0.255 0.929
0.211 0.242 0.530
0.211 0.681 0.970
0.789 0.319 0.030
0.789 0.758 0.470
0.816 0.745 0.071
0.825 0.255 0.571
```